A plane-wave DFT calculation with meta-GGA SCAN was carried out for a PBEsol-optimized structure of KLi2Re.

The structure in POSCAR format:
```
KLi2Re
1.0
4.739 -1.285 0.000
4.739 1.285 0.000
-0.312 0.000 6.760
K Li Re
1 2 1
Direct
0.000 0.000 0.000 K
0.239 0.239 0.661 Li
0.761 0.761 0.339 Li
0.500 0.500 0.500 Re
```

- E: -81.11 eV per cell
- Polymorph energy (0 for the lowest one): 0.105 eV per atom
- Formation energy from the elements: 773 meV per atom
- Symmetry: C2/m

=====

A plane-wave DFT calculation with meta-GGA SCAN was carried out for a PBEsol-optimized structure of KLiRe.

The structure in POSCAR format:
```
KLiRe
1.0
0.000 3.552 3.552
3.552 0.000 3.552
3.552 3.552 0.000
K Li Re
1 1 1
Direct
0.000 0.000 0.000 K
0.500 0.500 0.500 Li
0.250 0.250 0.250 Re
```

- E: -75.32 eV per cell
- Polymorph energy (0 for the lowest one): 1.286 eV per atom
- Formation energy from the elements: 2165 meV per atom
- Symmetry: F-43m